(1)
The following is a PBE+U calculation of a geometry-optimized SnMo2O structure, from Alexandria via LeMat-Bulk.

Geometry as POSCAR:
```
SnMo2O
1.0
-3.328 3.328 3.220
3.328 -3.328 3.220
3.328 3.328 -3.220
Sn Mo O
2 4 2
direct
0.000 0.000 0.000 Sn
0.750 0.250 0.500 Sn
0.236 0.625 0.111 Mo
0.375 0.486 0.611 Mo
0.514 0.125 0.889 Mo
0.875 0.764 0.389 Mo
0.250 0.750 0.500 O
0.500 0.500 0.000 O
```

Results
The value obtained for the polymorph energy (0 for the lowest one) is 0.00 eV per formula unit.

=====

(2)
The following is a PBE+U calculation of a geometry-optimized SnMoO2 structure, from Alexandria via LeMat-Bulk.

Geometry as POSCAR:
```
SnMoO2
1.0
3.102 0.000 0.000
-1.537 5.319 0.000
-0.028 -2.165 7.551
Sn Mo O
2 2 4
direct
0.000 0.000 0.000 Sn
0.289 0.583 0.151 Sn
0.258 0.522 0.610 Mo
0.567 0.138 0.573 Mo
0.087 0.181 0.401 O
0.363 0.730 0.431 O
0.465 0.934 0.768 O
0.742 0.485 0.784 O
```

Results
The value obtained for the total energy is -6.149 eV per atom.

=====

(3)
The following is a PBE+U calculation of a geometry-optimized SnMoO2 structure, from Alexandria via LeMat-Bulk.

Geometry as POSCAR:
```
SnMoO2
1.0
6.438 0.000 0.000
0.000 3.199 0.000
-3.201 0.000 6.510
Sn Mo O
2 2 4
direct
0.000 0.000 0.000 Sn
0.473 0.500 0.268 Sn
0.003 0.500 0.476 Mo
0.465 0.000 0.789 Mo
0.097 0.000 0.693 O
0.363 0.500 0.562 O
0.515 0.500 0.989 O
0.946 0.000 0.279 O
```

Results
The value obtained for the total energy is -6.297 eV per atom.

=====

(4)
The following is a PBE+U calculation of a geometry-optimized SnMoO2 structure, from Alexandria via LeMat-Bulk.

Geometry as POSCAR:
```
SnMoO2
1.0
1.489 -12.666 0.000
1.489 12.666 0.000
0.000 0.000 3.213
Sn Mo O
2 2 4
direct
0.058 0.942 0.750 Sn
0.942 0.058 0.250 Sn
0.307 0.693 0.750 Mo
0.693 0.307 0.250 Mo
0.136 0.864 0.250 O
0.219 0.781 0.750 O
0.781 0.219 0.250 O
0.864 0.136 0.750 O
```

Results
The value obtained for the total energy is -6.118 eV per atom.

=====

(5)
The following is a PBE+U calculation of a geometry-optimized Sn2MoO structure, from Alexandria via LeMat-Bulk.

Geometry as POSCAR:
```
Sn2MoO
1.0
-3.384 3.384 3.778
3.384 -3.384 3.778
3.384 3.384 -3.778
Sn Mo O
4 2 2
direct
0.050 0.625 0.925 Sn
0.375 0.300 0.425 Sn
0.700 0.125 0.075 Sn
0.875 0.950 0.575 Sn
0.250 0.750 0.500 Mo
0.500 0.500 0.000 Mo
0.000 0.000 0.000 O
0.750 0.250 0.500 O
```

Results
The value obtained for the total energy is -4.854 eV per atom.

=====

(6)
The following is a PBE+U calculation of a geometry-optimized SnMoO2 structure, from Alexandria via LeMat-Bulk.

Geometry as POSCAR:
```
SnMoO2
1.0
3.182 -3.995 0.000
3.182 3.995 0.000
-2.477 0.000 5.116
Sn Mo O
2 2 4
direct
0.084 0.916 0.500 Sn
0.916 0.084 0.000 Sn
0.556 0.606 0.083 Mo
0.606 0.556 0.583 Mo
0.266 0.363 0.681 O
0.363 0.266 0.181 O
0.418 0.816 0.407 O
0.816 0.418 0.907 O
```

Results
The value obtained for the total energy is -6.073 eV per atom.

=====

(7)
The following is a PBE+U calculation of a geometry-optimized SnMoO2 structure, from Alexandria via LeMat-Bulk.

Geometry as POSCAR:
```
SnMoO2
1.0
-2.339 2.339 5.499
2.339 -2.339 5.499
2.339 2.339 -5.499
Sn Mo O
2 2 4
direct
0.375 0.625 0.750 Sn
0.625 0.375 0.250 Sn
0.125 0.875 0.250 Mo
0.875 0.125 0.750 Mo
0.075 0.325 0.750 O
0.325 0.075 0.250 O
0.675 0.925 0.750 O
0.925 0.675 0.250 O
```

Results
The value obtained for the total energy is -5.998 eV per atom.

=====

(8)
The following is a PBE+U calculation of a geometry-optimized SnMoO2 structure, from Alexandria via LeMat-Bulk.

Geometry as POSCAR:
```
SnMoO2
1.0
4.112 0.000 0.000
0.000 4.112 0.000
0.000 0.000 3.130
Sn Mo O
1 1 2
direct
0.000 0.000 0.000 Sn
0.500 0.500 0.000 Mo
0.000 0.500 0.500 O
0.500 0.000 0.500 O
```

Results
The value obtained for the total energy is -5.304 eV per atom.

=====

(9)
The following is a PBE+U calculation of a geometry-optimized SnMoO2 structure, from Alexandria via LeMat-Bulk.

Geometry as POSCAR:
```
SnMoO2
1.0
6.495 -1.662 0.000
6.495 1.662 0.000
-1.742 0.000 6.325
Sn Mo O
2 2 4
direct
0.000 0.000 0.000 Sn
0.234 0.234 0.733 Sn
0.476 0.476 0.461 Mo
0.732 0.732 0.271 Mo
0.065 0.065 0.634 O
0.184 0.184 0.064 O
0.560 0.560 0.227 O
0.894 0.894 0.284 O
```

Results
The value obtained for the total energy is -6.284 eV per atom.

=====

(10)
The following is a PBE+U calculation of a geometry-optimized Sr3Sn2MoO9 structure, from Alexandria via LeMat-Bulk.

Geometry as POSCAR:
```
Sr3Sn2MoO9
1.0
5.788 0.000 0.000
-2.894 5.013 0.000
0.000 0.000 7.151
Sr Sn Mo O
3 2 1 9
direct
0.000 0.000 0.000 Sr
0.333 0.667 0.669 Sr
0.667 0.333 0.331 Sr
0.333 0.667 0.167 Sn
0.667 0.333 0.833 Sn
0.000 0.000 0.500 Mo
0.000 0.500 0.000 O
0.165 0.331 0.331 O
0.165 0.835 0.331 O
0.331 0.165 0.669 O
0.500 0.000 0.000 O
0.500 0.500 0.000 O
0.669 0.835 0.331 O
0.835 0.165 0.669 O
0.835 0.669 0.669 O
```

Results
The value obtained for the total energy is -6.514 eV per atom.

=====

(11)
The following is a PBE+U calculation of a geometry-optimized Sr2SnMoO6 structure, from Alexandria via LeMat-Bulk.

Geometry as POSCAR:
```
Sr2SnMoO6
1.0
5.755 0.000 0.000
0.000 5.838 0.000
-5.730 0.000 8.120
Sr Sn Mo O
4 2 2 12
direct
0.242 0.032 0.250 Sr
0.242 0.468 0.750 Sr
0.758 0.532 0.250 Sr
0.758 0.968 0.750 Sr
0.500 0.000 0.000 Sn
0.500 0.500 0.500 Sn
0.000 0.000 0.500 Mo
0.000 0.500 0.000 Mo
0.178 0.210 0.961 O
0.178 0.290 0.461 O
0.248 0.711 0.965 O
0.248 0.789 0.465 O
0.317 0.020 0.747 O
0.317 0.480 0.247 O
0.683 0.520 0.753 O
0.683 0.980 0.253 O
0.752 0.211 0.535 O
0.752 0.289 0.035 O
0.822 0.710 0.539 O
0.822 0.790 0.039 O
```

Results
The value obtained for the total energy is -6.671 eV per atom.

=====

(12)
The following is a PBE+U calculation of a geometry-optimized TiSnMoO6 structure, from Alexandria via LeMat-Bulk.

Geometry as POSCAR:
```
TiSnMoO6
1.0
5.172 0.000 0.000
-2.586 4.479 0.000
0.000 0.000 9.076
Ti Sn Mo O
2 2 2 12
direct
0.333 0.667 0.250 Ti
0.667 0.333 0.750 Ti
0.333 0.667 0.750 Sn
0.667 0.333 0.250 Sn
0.000 0.000 0.000 Mo
0.000 0.000 0.500 Mo
0.016 0.342 0.130 O
0.016 0.675 0.370 O
0.325 0.342 0.370 O
0.325 0.984 0.130 O
0.342 0.016 0.630 O
0.342 0.325 0.870 O
0.658 0.675 0.130 O
0.658 0.984 0.370 O
0.675 0.016 0.870 O
0.675 0.658 0.630 O
0.984 0.325 0.630 O
0.984 0.658 0.870 O
```

Results
The value obtained for the total energy is -7.439 eV per atom.

=====

(13)
The following is a PBE+U calculation of a geometry-optimized USnMoO6 structure, from Alexandria via LeMat-Bulk.

Geometry as POSCAR:
```
USnMoO6
1.0
5.460 0.000 0.000
-2.730 4.729 0.000
0.000 0.000 9.215
U Sn Mo O
2 2 2 12
direct
0.333 0.667 0.250 U
0.667 0.333 0.750 U
0.000 0.000 0.000 Sn
0.000 0.000 0.500 Sn
0.333 0.667 0.750 Mo
0.667 0.333 0.250 Mo
0.002 0.327 0.627 O
0.002 0.675 0.873 O
0.325 0.327 0.873 O
0.325 0.998 0.627 O
0.327 0.002 0.127 O
0.327 0.325 0.373 O
0.673 0.675 0.627 O
0.673 0.998 0.873 O
0.675 0.002 0.373 O
0.675 0.673 0.127 O
0.998 0.325 0.127 O
0.998 0.673 0.373 O
```

Results
The value obtained for the total energy is -7.972 eV per atom.

=====

(14)
The following is a PBE+U calculation of a geometry-optimized ZnSnMo2O structure, from Alexandria via LeMat-Bulk.

Geometry as POSCAR:
```
ZnSnMo2O
1.0
5.688 0.000 0.000
0.000 5.688 0.000
0.000 0.000 4.141
Zn Sn Mo O
1 1 2 1
direct
0.000 0.000 0.000 Zn
0.500 0.500 0.500 Sn
0.000 0.500 0.500 Mo
0.500 0.000 0.500 Mo
0.500 0.500 0.000 O
```

Results
The value obtained for the total energy is -3.822 eV per atom.

=====

(15)
The following is a PBE+U calculation of a geometry-optimized Sr3MoO structure, from Alexandria via LeMat-Bulk.

Geometry as POSCAR:
```
Sr3MoO
1.0
5.306 0.000 0.000
0.000 5.306 0.000
0.000 0.000 5.306
Sr Mo O
3 1 1
direct
0.000 0.000 0.500 Sr
0.000 0.500 0.000 Sr
0.500 0.000 0.000 Sr
0.500 0.500 0.500 Mo
0.000 0.000 0.000 O
```

Results
The value obtained for the polymorph energy (0 for the lowest one) is 0.00 eV per formula unit.

=====

(16)
The following is a PBE+U calculation of a geometry-optimized SrMo2O4 structure, from Alexandria via LeMat-Bulk.

Geometry as POSCAR:
```
SrMo2O4
1.0
-3.357 3.357 4.737
3.357 -3.357 4.737
3.357 3.357 -4.737
Sr Mo O
2 4 8
direct
0.375 0.625 0.750 Sr
0.625 0.375 0.250 Sr
0.000 0.000 0.000 Mo
0.000 0.000 0.500 Mo
0.000 0.500 0.000 Mo
0.500 0.000 0.500 Mo
0.191 0.230 0.960 O
0.230 0.191 0.460 O
0.230 0.770 0.040 O
0.230 0.770 0.460 O
0.770 0.230 0.540 O
0.770 0.230 0.960 O
0.770 0.809 0.540 O
0.809 0.770 0.040 O
```

Results
The value obtained for the total energy is -7.108 eV per atom.

=====

(17)
The following is a PBE+U calculation of a geometry-optimized Sr2MoO4 structure, from Alexandria via LeMat-Bulk.

Geometry as POSCAR:
```
Sr2MoO4
1.0
6.281 0.000 0.000
0.000 6.181 0.000
-2.225 0.000 6.537
Sr Mo O
4 2 8
direct
0.157 0.250 0.026 Sr
0.248 0.250 0.552 Sr
0.752 0.750 0.448 Sr
0.843 0.750 0.974 Sr
0.298 0.750 0.813 Mo
0.702 0.250 0.187 Mo
0.051 0.529 0.755 O
0.051 0.971 0.755 O
0.487 0.750 0.092 O
0.497 0.750 0.653 O
0.503 0.250 0.347 O
0.513 0.250 0.908 O
0.949 0.029 0.245 O
0.949 0.471 0.245 O
```

Results
The value obtained for the polymorph energy (0 for the lowest one) is 1.41 eV per formula unit.

=====

(18)
The following is a PBE+U calculation of a geometry-optimized Sr4MoO6 structure, from Alexandria via LeMat-Bulk.

Geometry as POSCAR:
```
Sr4MoO6
1.0
4.980 2.875 4.012
-4.980 2.875 4.012
0.000 -5.751 4.012
Sr Mo O
8 2 12
direct
0.110 0.750 0.390 Sr
0.250 0.250 0.250 Sr
0.250 0.610 0.890 Sr
0.390 0.110 0.750 Sr
0.610 0.890 0.250 Sr
0.750 0.390 0.110 Sr
0.750 0.750 0.750 Sr
0.890 0.250 0.610 Sr
0.000 0.000 0.000 Mo
0.500 0.500 0.500 Mo
0.057 0.927 0.715 O
0.073 0.285 0.943 O
0.215 0.427 0.557 O
0.285 0.943 0.073 O
0.427 0.557 0.215 O
0.443 0.785 0.573 O
0.557 0.215 0.427 O
0.573 0.443 0.785 O
0.715 0.057 0.927 O
0.785 0.573 0.443 O
0.927 0.715 0.057 O
0.943 0.073 0.285 O
```

Results
The value obtained for the total energy is -6.441 eV per atom.

=====

(19)
The following is a PBE+U calculation of a geometry-optimized SrMoO4 structure, from Alexandria via LeMat-Bulk.

Geometry as POSCAR:
```
SrMoO4
1.0
6.022 -2.562 0.000
6.022 2.562 0.000
-1.241 0.000 5.555
Sr Mo O
2 2 8
direct
0.240 0.760 0.750 Sr
0.760 0.240 0.250 Sr
0.000 0.500 0.000 Mo
0.500 0.000 0.500 Mo
0.194 0.202 0.225 O
0.202 0.194 0.725 O
0.281 0.511 0.061 O
0.489 0.719 0.439 O
0.511 0.281 0.561 O
0.719 0.489 0.939 O
0.798 0.806 0.275 O
0.806 0.798 0.775 O
```

Results
The value obtained for the total energy is -6.829 eV per atom.

=====

(20)
The following is a PBE+U calculation of a geometry-optimized Sr2MoO4 structure, from Alexandria via LeMat-Bulk.

Geometry as POSCAR:
```
Sr2MoO4
1.0
-2.007 2.007 6.495
2.007 -2.007 6.495
2.007 2.007 -6.495
Sr Mo O
2 1 4
direct
0.150 0.150 0.000 Sr
0.850 0.850 0.000 Sr
0.500 0.500 0.000 Mo
0.000 0.500 0.500 O
0.336 0.336 0.000 O
0.500 0.000 0.500 O
0.664 0.664 0.000 O
```

Results
The value obtained for the polymorph energy (0 for the lowest one) is 0.24 eV per formula unit.

=====

(21)
The following is a PBE+U calculation of a geometry-optimized SrMoO3 structure, from Alexandria via LeMat-Bulk.

Geometry as POSCAR:
```
SrMoO3
1.0
4.046 0.000 0.000
0.000 4.046 0.000
0.000 0.000 4.046
Sr Mo O
1 1 3
direct
0.000 0.000 0.000 Sr
0.500 0.500 0.500 Mo
0.000 0.500 0.500 O
0.500 0.000 0.500 O
0.500 0.500 0.000 O
```

Results
The value obtained for the total energy is -6.930 eV per atom.

=====

Number 1: total moment 8.052 Bohr magnetons per cell, theoretical density 7.60 Mg/m³. Number 2: total moment 0.000 Bohr magnetons per cell, theoretical density 6.58 Mg/m³. Number 3: total moment 5.251 Bohr magnetons per cell, theoretical density 6.11 Mg/m³. Number 4: total moment 4.203 Bohr magnetons per cell, theoretical density 6.76 Mg/m³. Number 5: total moment 7.036 Bohr magnetons per cell, theoretical density 6.70 Mg/m³. Number 6: total moment 4.000 Bohr magnetons per cell, theoretical density 6.30 Mg/m³. Number 7: total moment 6.012 Bohr magnetons per cell, theoretical density 6.81 Mg/m³. Number 8: total moment 1.800 Bohr magnetons per cell, theoretical density 7.74 Mg/m³. Number 9: total moment 6.566 Bohr magnetons per cell, theoretical density 6.00 Mg/m³. Number 10: total moment 2.000 Bohr magnetons per cell, theoretical density 5.92 Mg/m³. Number 11: total moment 4.000 Bohr magnetons per cell, theoretical density 5.91 Mg/m³. Number 12: total moment 4.000 Bohr magnetons per cell, theoretical density 5.66 Mg/m³. Number 13: total moment 7.975 Bohr magnetons per cell, theoretical density 7.66 Mg/m³. Number 14: total moment 9.454 Bohr magnetons per cell, theoretical density 4.86 Mg/m³. Number 15: total moment 4.742 Bohr magnetons per cell, theoretical density 4.17 Mg/m³. Number 16: total moment 12.000 Bohr magnetons per cell, theoretical density 5.34 Mg/m³. Number 17: total moment 4.000 Bohr magnetons per cell, theoretical density 4.39 Mg/m³. Number 18: total moment 4.000 Bohr magnetons per cell, theoretical density 5.23 Mg/m³. Number 19: total moment 0.000 Bohr magnetons per cell, theoretical density 4.80 Mg/m³. Number 20: total moment 2.000 Bohr magnetons per cell, theoretical density 5.32 Mg/m³. Number 21: total moment 2.000 Bohr magnetons per cell, theoretical density 5.80 Mg/m³.